[1]
# BeAlCo2 (GGA-PBE, optimized geometry)
data_BeAlCo2
_chemical_formula_sum 'Be1 Al1 Co2'
_cell_length_a 7.497
_cell_length_b 7.496
_cell_length_c 7.496
_cell_angle_alpha 20.05
_cell_angle_beta 20.05
_cell_angle_gamma 20.05
_symmetry_space_group_name_H-M 'P 1'
_symmetry_Int_Tables_number 1
loop_
_symmetry_equiv_pos_as_xyz
'x,y,z'
loop_
_atom_site_label
_atom_site_fract_x
_atom_site_fract_y
_atom_site_fract_z
Be1 0.750 0.750 0.750
Co1 0.494 0.494 0.494
Co2 0.006 0.006 0.006
Al1 0.250 0.250 0.250
# Formation energy   -114 meV per atom
# Density   5.90 g/cm3


[2]
# Ce3CoSi6Pt2 (GGA-PBE, optimized geometry)
data_Ce3CoSi6Pt2
_chemical_formula_sum 'Ce3 Co1 Si6 Pt2'
_cell_length_a 5.770
_cell_length_b 5.770
_cell_length_c 7.663
_cell_angle_alpha 90.00
_cell_angle_beta 90.00
_cell_angle_gamma 120.00
_symmetry_space_group_name_H-M 'P 1'
_symmetry_Int_Tables_number 1
loop_
_symmetry_equiv_pos_as_xyz
'x,y,z'
loop_
_atom_site_label
_atom_site_fract_x
_atom_site_fract_y
_atom_site_fract_z
Si1 0.378 0.189 0.680
Si2 0.189 0.378 0.320
Si3 0.189 0.811 0.320
Si4 0.811 0.622 0.680
Si5 0.811 0.189 0.680
Si6 0.622 0.811 0.320
Co1 0.000 0.000 0.500
Pt1 0.667 0.333 0.946
Pt2 0.333 0.667 0.054
Ce1 0.000 0.000 0.000
Ce2 0.333 0.667 0.670
Ce3 0.667 0.333 0.330
# ΔE_f (raw)   -0.532 eV per atom
# Density   7.80 g/cm3


[3]
# Pa4OsRu (GGA-PBE, optimized geometry)
data_Pa4OsRu
_chemical_formula_sum 'Pa8 Os2 Ru2'
_cell_length_a 6.902
_cell_length_b 6.725
_cell_length_c 6.600
_cell_angle_alpha 90.00
_cell_angle_beta 98.75
_cell_angle_gamma 90.00
_symmetry_space_group_name_H-M 'P 1'
_symmetry_Int_Tables_number 1
loop_
_symmetry_equiv_pos_as_xyz
'x,y,z'
loop_
_atom_site_label
_atom_site_fract_x
_atom_site_fract_y
_atom_site_fract_z
Os1 0.000 0.000 0.000
Os2 0.500 0.500 0.000
Pa1 0.726 0.679 0.696
Pa2 0.371 0.839 0.133
Pa3 0.629 0.161 0.867
Pa4 0.226 0.821 0.696
Pa5 0.774 0.179 0.304
Pa6 0.274 0.321 0.304
Pa7 0.129 0.339 0.867
Pa8 0.871 0.661 0.133
Ru1 0.000 0.500 0.500
Ru2 0.500 0.000 0.500
# Formation energy   -8 meV per atom
# Density   13.33 g/cm3


[4]
# NaSrBe3 (GGA-PBE, optimized geometry)
data_NaSrBe3
_chemical_formula_sum 'Na1 Sr1 Be3'
_cell_length_a 5.688
_cell_length_b 5.688
_cell_length_c 5.688
_cell_angle_alpha 90.00
_cell_angle_beta 90.00
_cell_angle_gamma 90.00
_symmetry_space_group_name_H-M 'P 1'
_symmetry_Int_Tables_number 1
loop_
_symmetry_equiv_pos_as_xyz
'x,y,z'
loop_
_atom_site_label
_atom_site_fract_x
_atom_site_fract_y
_atom_site_fract_z
Be1 0.000 0.000 0.500
Be2 0.500 0.000 0.000
Be3 0.000 0.500 0.000
Na1 0.500 0.500 0.500
Sr1 0.000 0.000 0.000
# Formation energy   1753 meV per atom
# Density   1.24 g/cm3


[5]
# Tb3Dy3Tl (GGA-PBE, optimized geometry)
data_Tb3Dy3Tl
_chemical_formula_sum 'Tb12 Dy12 Tl4'
_cell_length_a 5.190
_cell_length_b 13.268
_cell_length_c 12.790
_cell_angle_alpha 90.00
_cell_angle_beta 90.00
_cell_angle_gamma 90.00
_symmetry_space_group_name_H-M 'P 1'
_symmetry_Int_Tables_number 1
loop_
_symmetry_equiv_pos_as_xyz
'x,y,z'
loop_
_atom_site_label
_atom_site_fract_x
_atom_site_fract_y
_atom_site_fract_z
Dy1 0.250 0.555 0.930
Dy2 0.250 0.055 0.570
Dy3 0.250 0.775 0.554
Dy4 0.750 0.445 0.070
Dy5 0.250 0.016 0.068
Dy6 0.250 0.516 0.432
Dy7 0.750 0.484 0.568
Dy8 0.750 0.225 0.446
Dy9 0.750 0.984 0.932
Dy10 0.250 0.275 0.946
Dy11 0.750 0.725 0.054
Dy12 0.750 0.945 0.430
Tb1 0.250 0.325 0.230
Tb2 0.750 0.175 0.730
Tb3 0.250 0.315 0.630
Tb4 0.250 0.087 0.310
Tb5 0.750 0.913 0.690
Tb6 0.750 0.685 0.370
Tb7 0.750 0.675 0.770
Tb8 0.250 0.815 0.870
Tb9 0.250 0.825 0.270
Tb10 0.750 0.185 0.130
Tb11 0.750 0.413 0.810
Tb12 0.250 0.587 0.190
Tl1 0.750 0.943 0.185
Tl2 0.250 0.057 0.815
Tl3 0.250 0.557 0.685
Tl4 0.750 0.443 0.315
# Formation energy   28 meV per atom
# Density   8.81 g/cm3


[6]
# La2PrAu (GGA-PBE, optimized geometry)
data_La2PrAu
_chemical_formula_sum 'La4 Pr2 Au2'
_cell_length_a 3.910
_cell_length_b 6.583
_cell_length_c 10.366
_cell_angle_alpha 90.00
_cell_angle_beta 90.00
_cell_angle_gamma 107.23
_symmetry_space_group_name_H-M 'P 1'
_symmetry_Int_Tables_number 1
loop_
_symmetry_equiv_pos_as_xyz
'x,y,z'
loop_
_atom_site_label
_atom_site_fract_x
_atom_site_fract_y
_atom_site_fract_z
La1 0.134 0.268 0.451
La2 0.866 0.732 0.549
La3 0.866 0.732 0.951
La4 0.134 0.268 0.049
Pr1 0.568 0.135 0.750
Pr2 0.432 0.865 0.250
Au1 0.732 0.464 0.250
Au2 0.268 0.536 0.750
# Formation energy   -416 meV per atom
# Density   8.02 g/cm3